1.
## NaUO4 (GGA-PBE)

Data for crystalline NaUO4 at its relaxed geometry.

a b c (Å): 6.4548 6.4548 6.4548
angles (deg): 36.00 36.00 36.00
Closest atoms and distances in Å follow each position.
Positions (direct):
1 O 0.1042 0.1042 0.1042  1 U 1.88
2 O 0.8958 0.8958 0.8958  1 U 1.88
3 O 0.3377 0.3377 0.3377  3 U 2.30, 3 O 2.31
4 O 0.6623 0.6623 0.6623  3 U 2.30, 3 O 2.31
5 U 0.0000 0.0000 0.0000  2 O 1.88
6 Na 0.5000 0.5000 0.5000  6 O 2.57

Values from the calculation:
Total magnetization in μB per atom: 0.00
Offset from the most stable computed form in meV/atom: 0
ρ in g/cm³: 6.49
Uncorrected formation energy in eV per atom: -2.44

2.
## LiCo2Hg (GGA-PBE)

Data for crystalline LiCo2Hg at its relaxed geometry.

a b c (Å): 9.2610 9.2610 9.2610
angles (deg): 17.08 17.08 17.08
Closest atoms and distances in Å follow each position.
Positions (direct):
1 Li 0.7500 0.7500 0.7500  6 Co 2.69, 6 Li 2.75
2 Co 0.0041 0.0041 0.0041  3 Li 2.69, 6 Co 2.75, 3 Hg 2.87
3 Co 0.4959 0.4959 0.4959  3 Li 2.69, 6 Co 2.75, 3 Hg 2.87
4 Hg 0.2500 0.2500 0.2500  6 Hg 2.75, 6 Co 2.87

Values from the calculation:
Total magnetization in μB per atom: 0.81
ΔE_f in eV/atom: 0.506
ρ in g/cm³: 9.04